Entry 1:
# NiIrPt2, relaxed, DFT PBE-GGA
data_NiIrPt2
_cell_length_a 5.337
_cell_length_b 5.337
_cell_length_c 5.337
_cell_angle_alpha 150.58
_cell_angle_beta 128.61
_cell_angle_gamma 60.33
_symmetry_space_group_name_H-M 'P 1'
_symmetry_Int_Tables_number 1
_symmetry_space_group_name_Hall 'P 1'
loop_
_atom_site_label
_atom_site_fract_x
_atom_site_fract_y
_atom_site_fract_z
Pt1 0.013 0.013 0.000
Pt2 0.745 0.245 0.500
Ir1 0.486 0.486 0.000
Ni1 0.255 0.755 0.500
# calculated formation energy	88.5	meV per atom
# energy relative to the lowest polymorph listed for this composition	0.1127	eV per atom
# crystal system	orthorhombic



Entry 2:
# RbTa2AgOs, relaxed, DFT PBE-GGA
data_RbTa2AgOs
_cell_length_a 4.782
_cell_length_b 4.855
_cell_length_c 4.782
_cell_angle_alpha 90.00
_cell_angle_beta 90.00
_cell_angle_gamma 90.00
_symmetry_space_group_name_H-M 'P 1'
_symmetry_Int_Tables_number 1
_symmetry_space_group_name_Hall 'P 1'
loop_
_atom_site_label
_atom_site_fract_x
_atom_site_fract_y
_atom_site_fract_z
Ta1 0.500 0.000 0.000
Os1 0.500 0.500 0.500
Ag1 0.000 0.500 0.000
Rb1 0.000 0.000 0.000
Ta2 0.000 0.000 0.500
# calculated formation energy	3475.9	meV per atom
# crystal system	tetragonal



Entry 3:
# La13Nd2, relaxed, DFT PBE-GGA
data_La13Nd2
_cell_length_a 6.922
_cell_length_b 9.336
_cell_length_c 9.334
_cell_angle_alpha 113.13
_cell_angle_beta 82.46
_cell_angle_gamma 97.65
_symmetry_space_group_name_H-M 'P 1'
_symmetry_Int_Tables_number 1
_symmetry_space_group_name_Hall 'P 1'
loop_
_atom_site_label
_atom_site_fract_x
_atom_site_fract_y
_atom_site_fract_z
La1 0.301 0.371 0.970
La2 0.696 0.964 0.361
La3 0.502 0.168 0.164
La4 0.304 0.036 0.639
La5 0.397 0.602 0.404
La6 0.100 0.564 0.769
La7 0.699 0.629 0.030
La8 0.603 0.398 0.596
Nd1 0.899 0.766 0.569
La9 0.900 0.436 0.231
La10 0.805 0.194 0.792
La11 0.000 0.000 0.000
La12 0.498 0.832 0.836
Nd2 0.101 0.234 0.431
La13 0.195 0.806 0.208
# calculated formation energy	34.4	meV per atom
# crystal system	triclinic



Entry 4:
# InGaSeBr2, relaxed, DFT PBE-GGA
data_InGaSeBr2
_cell_length_a 5.559
_cell_length_b 5.559
_cell_length_c 5.364
_cell_angle_alpha 90.00
_cell_angle_beta 90.00
_cell_angle_gamma 90.00
_symmetry_space_group_name_H-M 'P 1'
_symmetry_Int_Tables_number 1
_symmetry_space_group_name_Hall 'P 1'
loop_
_atom_site_label
_atom_site_fract_x
_atom_site_fract_y
_atom_site_fract_z
Br1 0.500 0.000 0.000
Se1 0.000 0.000 0.500
Br2 0.000 0.500 0.000
Ga1 0.500 0.500 0.500
In1 0.000 0.000 0.000
# energy relative to the lowest polymorph listed for this composition	0.0763	eV per atom
# E_form (uncorrected)	-1.5	eV per formula unit
# crystal system	tetragonal



Entry 5:
# TaIn3H, relaxed, DFT PBE-GGA
data_TaIn3H
_cell_length_a 4.485
_cell_length_b 4.485
_cell_length_c 4.485
_cell_angle_alpha 90.00
_cell_angle_beta 90.00
_cell_angle_gamma 90.00
_symmetry_space_group_name_H-M 'P 1'
_symmetry_Int_Tables_number 1
_symmetry_space_group_name_Hall 'P 1'
loop_
_atom_site_label
_atom_site_fract_x
_atom_site_fract_y
_atom_site_fract_z
Ta1 0.500 0.500 0.500
In1 0.000 0.500 0.000
H1 0.000 0.000 0.000
In2 0.500 0.000 0.000
In3 0.000 0.000 0.500
# energy relative to the lowest polymorph listed for this composition	0.0000	eV per atom
# crystal system	cubic



Entry 6:
# Ho2AgS4, relaxed, DFT PBE-GGA
data_Ho2AgS4
_cell_length_a 7.912
_cell_length_b 7.912
_cell_length_c 7.908
_cell_angle_alpha 59.99
_cell_angle_beta 59.99
_cell_angle_gamma 90.02
_symmetry_space_group_name_H-M 'P 1'
_symmetry_Int_Tables_number 1
_symmetry_space_group_name_Hall 'P 1'
loop_
_atom_site_label
_atom_site_fract_x
_atom_site_fract_y
_atom_site_fract_z
Ho1 0.500 0.000 0.500
S1 0.257 0.243 0.987
Ho2 0.500 0.500 0.500
Ag1 0.875 0.625 0.750
S2 0.257 0.771 0.987
S3 0.729 0.243 0.513
S4 0.743 0.229 0.013
S5 0.743 0.757 0.487
S6 0.743 0.757 0.013
Ag2 0.125 0.375 0.250
S7 0.257 0.243 0.513
Ho3 0.500 0.000 0.000
Ho4 0.000 0.000 0.000
S8 0.271 0.757 0.487
# energy relative to the lowest polymorph listed for this composition	0.0000	eV per atom
# E_form (uncorrected)	-9.8	eV per formula unit
# crystal system	tetragonal



Entry 7:
# CrTc2Ag, relaxed, DFT PBE-GGA
data_CrTc2Ag
_cell_length_a 2.703
_cell_length_b 2.703
_cell_length_c 8.020
_cell_angle_alpha 90.00
_cell_angle_beta 90.00
_cell_angle_gamma 90.00
_symmetry_space_group_name_H-M 'P 1'
_symmetry_Int_Tables_number 1
_symmetry_space_group_name_Hall 'P 1'
loop_
_atom_site_label
_atom_site_fract_x
_atom_site_fract_y
_atom_site_fract_z
Ag1 0.500 0.500 0.250
Cr1 0.500 0.500 0.750
Tc1 0.000 0.000 0.967
Tc2 0.000 0.000 0.533
# calculated formation energy	336.6	meV per atom
# energy relative to the lowest polymorph listed for this composition	0.0324	eV per atom
# crystal system	tetragonal



Entry 8:
# LaTb8Cd2, relaxed, DFT PBE-GGA
data_LaTb8Cd2
_cell_length_a 5.661
_cell_length_b 8.752
_cell_length_c 8.752
_cell_angle_alpha 119.84
_cell_angle_beta 100.92
_cell_angle_gamma 100.92
_symmetry_space_group_name_H-M 'P 1'
_symmetry_Int_Tables_number 1
_symmetry_space_group_name_Hall 'P 1'
loop_
_atom_site_label
_atom_site_fract_x
_atom_site_fract_y
_atom_site_fract_z
Cd1 0.000 0.693 0.307
Tb1 0.885 0.681 0.907
Tb2 0.296 0.594 0.594
Tb3 0.115 0.093 0.319
Tb4 0.500 0.776 0.224
La1 0.500 0.000 0.000
Tb5 0.500 0.224 0.776
Tb6 0.115 0.319 0.093
Cd2 0.000 0.307 0.693
Tb7 0.885 0.907 0.681
Tb8 0.704 0.406 0.406
# calculated formation energy	34.1	meV per atom
# crystal system	monoclinic



Number 1 is which compound?
NiIrPt2